(1)
# DyErCuIr, optimized geometry, DFT PBE
data_DyErCuIr
_cell_length_a 6.859
_cell_length_b 6.859
_cell_length_c 6.859
_cell_angle_alpha 90.00
_cell_angle_beta 90.00
_cell_angle_gamma 90.00
_symmetry_space_group_name_H-M 'F -4 3 m'
_symmetry_Int_Tables_number 216
_symmetry_space_group_name_Hall 'F -4 2 3'
loop_
_atom_site_label
_atom_site_type_symbol
_atom_site_fract_x
_atom_site_fract_y
_atom_site_fract_z
Dy1 Dy 0.000 0.000 0.000
Er1 Er 0.000 0.000 0.500
Cu1 Cu 0.250 0.250 0.250
Ir1 Ir 0.250 0.250 0.750
# - Magnetic moment: 0.00 μB/f.u.
# - Energy of formation: -2.46 eV/f.u.

=====

(2)
# LiDyErCu, optimized geometry, DFT PBE
data_LiDyErCu
_cell_length_a 7.067
_cell_length_b 7.067
_cell_length_c 7.067
_cell_angle_alpha 90.00
_cell_angle_beta 90.00
_cell_angle_gamma 90.00
_symmetry_space_group_name_H-M 'F -4 3 m'
_symmetry_Int_Tables_number 216
_symmetry_space_group_name_Hall 'F -4 2 3'
loop_
_atom_site_label
_atom_site_type_symbol
_atom_site_fract_x
_atom_site_fract_y
_atom_site_fract_z
Li1 Li 0.000 0.000 0.000
Dy1 Dy 0.250 0.250 0.250
Er1 Er 0.250 0.250 0.750
Cu1 Cu 0.000 0.000 0.500
# - Magnetic moment: 0.00 μB/f.u.
# - Energy of formation: -0.17 eV/f.u.

=====

(3)
# DyErMgCu, optimized geometry, DFT PBE
data_DyErMgCu
_cell_length_a 7.213
_cell_length_b 7.213
_cell_length_c 7.213
_cell_angle_alpha 90.00
_cell_angle_beta 90.00
_cell_angle_gamma 90.00
_symmetry_space_group_name_H-M 'F -4 3 m'
_symmetry_Int_Tables_number 216
_symmetry_space_group_name_Hall 'F -4 2 3'
loop_
_atom_site_label
_atom_site_type_symbol
_atom_site_fract_x
_atom_site_fract_y
_atom_site_fract_z
Dy1 Dy 0.000 0.000 0.000
Er1 Er 0.000 0.000 0.500
Mg1 Mg 0.250 0.250 0.750
Cu1 Cu 0.250 0.250 0.250
# - Magnetic moment: 0.00 μB/f.u.
# - Energy of formation: -0.26 eV/f.u.
# - Polymorph energy (0 for the lowest one): 86 meV/atom

=====

(4)
# DyErMgCu, optimized geometry, DFT PBE
data_DyErMgCu
_cell_length_a 3.467
_cell_length_b 3.467
_cell_length_c 7.998
_cell_angle_alpha 90.00
_cell_angle_beta 90.00
_cell_angle_gamma 90.00
_symmetry_space_group_name_H-M 'P 4 m m'
_symmetry_Int_Tables_number 99
_symmetry_space_group_name_Hall 'P 4 -2'
loop_
_atom_site_label
_atom_site_type_symbol
_atom_site_fract_x
_atom_site_fract_y
_atom_site_fract_z
Dy1 Dy 0.000 0.000 0.000
Er1 Er 0.000 0.000 0.421
Mg1 Mg 0.500 0.500 0.708
Cu1 Cu 0.500 0.500 0.216
# - Magnetic moment: 0.00 μB/f.u.
# - Energy of formation: -0.61 eV/f.u.
# - Polymorph energy (0 for the lowest one): 0 meV/atom